Here is a geometry-optimized PmPr7Tm12 structure from the Alexandria database. Energies are from GGA-PBE.

Structure (POSCAR):
```
PmPr7Tm12
1.0
-5.626 5.626 5.626
5.626 -5.626 5.626
5.626 5.626 -5.626
Pm Pr Tm
1 7 12
Direct
0.000 0.000 0.000 Pm
0.000 0.000 0.500 Pr
0.000 0.500 0.000 Pr
0.000 0.500 0.500 Pr
0.500 0.000 0.000 Pr
0.500 0.000 0.500 Pr
0.500 0.500 0.000 Pr
0.500 0.500 0.500 Pr
0.000 0.249 0.751 Tm
0.000 0.751 0.249 Tm
0.249 0.000 0.751 Tm
0.249 0.249 0.497 Tm
0.249 0.497 0.249 Tm
0.249 0.751 0.000 Tm
0.497 0.249 0.249 Tm
0.503 0.751 0.751 Tm
0.751 0.000 0.249 Tm
0.751 0.249 0.000 Tm
0.751 0.503 0.751 Tm
0.751 0.751 0.503 Tm
```

## Properties
space-group type = Im-3m (229)
total magnetic moment = 0.000 μB/atom
DOS(E_F) = 29.16 states/eV/cell
VASP energy = -3.951 eV per atom
formation enthalpy at 0 K = 0.642 eV/atom

Here is a geometry-optimized Pm4PrTm2 structure from the Alexandria database. Energies are from GGA-PBE.

Structure (POSCAR):
```
Pm4PrTm2
1.0
0.000 12.140 3.233
5.999 0.000 3.233
5.999 12.140 0.000
Pm Pr Tm
8 2 4
Direct
0.021 0.979 0.122 Pm
0.128 0.372 0.229 Pm
0.372 0.128 0.271 Pm
0.447 0.603 0.266 Pm
0.566 0.984 0.647 Pm
0.603 0.447 0.684 Pm
0.979 0.021 0.878 Pm
0.984 0.566 0.803 Pm
0.486 0.486 0.514 Pr
0.736 0.736 0.764 Pr
0.058 0.544 0.010 Tm
0.240 0.861 0.192 Tm
0.544 0.058 0.389 Tm
0.861 0.240 0.706 Tm
```

## Properties
space-group type = Fdd2 (43)
total magnetic moment = 0.000 μB/atom
DOS(E_F) = 20.55 states/eV/cell
VASP energy = -4.616 eV per atom
formation enthalpy at 0 K = 0.059 eV/atom

Here is a geometry-optimized Pm3Pr2Tm2 structure from the Alexandria database. Energies are from GGA-PBE.

Structure (POSCAR):
```
Pm3Pr2Tm2
1.0
3.627 0.000 0.000
1.803 7.877 0.000
0.006 3.331 8.233
Pm Pr Tm
3 2 2
Direct
0.000 0.000 0.000 Pm
0.140 0.720 0.429 Pm
0.860 0.280 0.571 Pm
0.284 0.431 0.854 Pr
0.716 0.569 0.146 Pr
0.430 0.140 0.288 Tm
0.570 0.860 0.712 Tm
```

## Properties
space-group type = P-1 (2)
total magnetic moment = 0.000 μB/atom
DOS(E_F) = 9.45 states/eV/cell
VASP energy = -4.660 eV per atom
formation enthalpy at 0 K = 0.019 eV/atom

Here is a geometry-optimized Pm4Pr5Tm3 structure from the Alexandria database. Energies are from GGA-PBE.

Structure (POSCAR):
```
Pm4Pr5Tm3
1.0
5.247 -2.880 0.000
5.247 2.880 0.000
-5.116 0.000 13.708
Pm Pr Tm
4 5 3
Direct
0.067 0.067 0.130 Pm
0.189 0.189 0.380 Pm
0.811 0.811 0.620 Pm
0.933 0.933 0.870 Pm
0.000 0.000 0.500 Pr
0.337 0.337 0.002 Pr
0.470 0.470 0.262 Pr
0.530 0.530 0.738 Pr
0.663 0.663 0.998 Pr
0.203 0.203 0.743 Tm
0.500 0.500 0.500 Tm
0.797 0.797 0.257 Tm
```

## Properties
space-group type = C2/m (12)
total magnetic moment = 0.000 μB/atom
DOS(E_F) = 17.55 states/eV/cell
VASP energy = -4.480 eV per atom
formation enthalpy at 0 K = 0.213 eV/atom

Here is a geometry-optimized Pm2Pr5Tm5 structure from the Alexandria database. Energies are from GGA-PBE.

Structure (POSCAR):
```
Pm2Pr5Tm5
1.0
7.663 -2.540 0.000
7.663 2.540 0.000
-5.147 0.000 10.243
Pm Pr Tm
2 5 5
Direct
0.083 0.083 0.253 Pm
0.917 0.917 0.747 Pm
0.000 0.000 0.500 Pr
0.164 0.164 0.998 Pr
0.249 0.249 0.747 Pr
0.751 0.751 0.253 Pr
0.836 0.836 0.002 Pr
0.333 0.333 0.499 Tm
0.418 0.418 0.252 Tm
0.500 0.500 0.000 Tm
0.582 0.582 0.748 Tm
0.667 0.667 0.501 Tm
```

## Properties
space-group type = C2/m (12)
total magnetic moment = 0.000 μB/atom
DOS(E_F) = 17.23 states/eV/cell
VASP energy = -4.626 eV per atom
formation enthalpy at 0 K = 0.020 eV/atom

Here is a geometry-optimized Pm3Pr4Tm structure from the Alexandria database. Energies are from GGA-PBE.

Structure (POSCAR):
```
Pm3Pr4Tm
1.0
11.908 -1.769 0.000
11.908 1.769 0.000
-2.029 0.000 6.667
Pm Pr Tm
3 4 1
Direct
0.000 0.000 0.000 Pm
0.122 0.122 0.383 Pm
0.878 0.878 0.617 Pm
0.123 0.123 0.862 Pr
0.258 0.258 0.262 Pr
0.742 0.742 0.738 Pr
0.877 0.877 0.138 Pr
0.500 0.500 0.500 Tm
```

## Properties
space-group type = C2/m (12)
total magnetic moment = 0.000 μB/atom
DOS(E_F) = 12.96 states/eV/cell
VASP energy = -4.581 eV per atom
formation enthalpy at 0 K = 0.149 eV/atom